Record 1
VASP calculation (PBE) on a relaxed structure of Sc4GaCuRu2.

Cell lengths 4.6052, 4.6052, 7.9907 Å; angles 73.25, 73.25, 60.00 degrees
Fractional positions:
Sc 0.3776 0.3776 0.8673
Sc 0.8730 0.8730 0.3811
Sc 0.1270 0.1270 0.6189
Sc 0.6224 0.6224 0.1327
Ga 0.0000 0.0000 0.0000
Cu 0.5000 0.5000 0.5000
Ru 0.7489 0.7489 0.7532
Ru 0.2511 0.2511 0.2468

Calculated values
Calculated formation energy, eV per formula unit: -4.2
N(E_F), states/eV per atom: 0.510
Space group: R-3m, No. 166

Record 2
VASP calculation (PBE) on a relaxed structure of Pm4PPb.

Cell lengths 5.6478, 9.2105, 7.5107 Å; angles 90.00, 90.00, 114.38 degrees
Fractional positions:
Pm 0.3260 0.6252 0.7500
Pm 0.6740 0.3748 0.2500
Pm 0.4549 0.0333 0.7500
Pm 0.5451 0.9667 0.2500
Pm 0.9053 0.7570 0.0116
Pm 0.0947 0.2430 0.5116
Pm 0.9053 0.7570 0.4884
Pm 0.0947 0.2430 0.9884
P 0.9018 0.9728 0.7500
P 0.0982 0.0272 0.2500
Pb 0.6969 0.4180 0.7500
Pb 0.3031 0.5820 0.2500

Calculated values
Calculated formation energy, eV per formula unit: -3.9
N(E_F), states/eV per atom: 1.024
Space group: P2_1/m, No. 11

Record 3
VASP calculation (PBE) on a relaxed structure of BiPAuS.

Cell lengths 4.2730, 4.9744, 5.6163 Å; angles 68.48, 68.14, 83.43 degrees
Fractional positions:
Bi 0.3940 0.3427 0.4235
P 0.7833 0.6278 0.5606
Au 0.4188 0.8083 0.8962
S 0.0042 0.0044 0.2134

Calculated values
N(E_F), states/eV per atom: 0.277
Space group: P1, No. 1
Relative energy among the computed polymorphs, kcal/mol of atoms: 0.33
Formation energy without anion corrections, meV per atom: -32

Record 4
VASP calculation (PBE) on a relaxed structure of ScTi2Zn2.

Cell lengths 3.0844, 4.5879, 12.1665 Å; angles 90.00, 97.31, 90.00 degrees
Fractional positions:
Sc 0.8452 0.7500 0.6910
Sc 0.1548 0.2500 0.3090
Ti 0.0416 0.7500 0.0838
Ti 0.9584 0.2500 0.9162
Ti 0.2340 0.7500 0.4685
Ti 0.7660 0.2500 0.5315
Zn 0.6334 0.7500 0.2663
Zn 0.3666 0.2500 0.7337
Zn 0.4464 0.7500 0.8926
Zn 0.5536 0.2500 0.1074

Calculated values
Calculated formation energy, eV per formula unit: -0.9
N(E_F), states/eV per atom: 0.907
Space group: P2_1/m, No. 11
Relative energy among the computed polymorphs, kcal/mol of atoms: 0.00

Record 5
VASP calculation (PBE) on a relaxed structure of MnAuSe2.

Cell lengths 4.5788, 4.5788, 4.5788 Å; angles 60.00, 60.00, 60.00 degrees
Each line ends with the local moment (μB).
Fractional positions:
Mn 0.0000 0.0000 0.0000  0.19
Au 0.5000 0.5000 0.5000  -0.02
Se 0.2500 0.2500 0.2500  -0.06
Se 0.7500 0.7500 0.7500  -0.06

Calculated values
N(E_F), states/eV per atom: 1.612
Space group: Fm-3m, No. 225
Formation energy without anion corrections, meV per atom: 566

Record 6
VASP calculation (PBE) on a relaxed structure of CdMo3Br.

Cell lengths 4.9732, 4.9732, 4.9732 Å; angles 90.00, 90.00, 90.00 degrees
Fractional positions:
Mo 0.0000 0.5000 0.0000
Mo 0.0000 0.0000 0.5000
Mo 0.5000 0.0000 0.0000
Br 0.5000 0.5000 0.5000
Cd 0.0000 0.0000 0.0000

Calculated values
N(E_F), states/eV per atom: 2.312
Space group: Pm-3m, No. 221
Relative energy among the computed polymorphs, kcal/mol of atoms: 29.88
Formation energy without anion corrections, meV per atom: 2737

Record 7
VASP calculation (PBE) on a relaxed structure of ErGaAgPb.

Cell lengths 5.0939, 5.0939, 5.0939 Å; angles 60.00, 60.00, 60.00 degrees
Fractional positions:
Pb 0.0000 0.0000 0.0000
Ga 0.7500 0.7500 0.7500
Ag 0.2500 0.2500 0.2500
Er 0.5000 0.5000 0.5000

Calculated values
Calculated formation energy, eV per formula unit: -0.7
N(E_F), states/eV per atom: 0.701
Space group: F-43m, No. 216

Record 8
VASP calculation (PBE) on a relaxed structure of La4Pr5Nd4.

Cell lengths 5.2405, 9.8386, 9.8386 Å; angles 85.93, 74.55, 74.55 degrees
Fractional positions:
La 0.9232 0.4614 0.6922
La 0.6154 0.3078 0.4614
La 0.0768 0.5386 0.3078
La 0.3846 0.6922 0.5386
Pr 0.6914 0.8486 0.7686
Pr 0.3086 0.1514 0.2314
Pr 0.0000 0.0000 0.0000
Pr 0.5400 0.7686 0.1514
Pr 0.4600 0.2314 0.8486
Nd 0.7690 0.3844 0.0776
Nd 0.2310 0.6156 0.9224
Nd 0.8466 0.9224 0.3844
Nd 0.1534 0.0776 0.6156

Calculated values
Calculated formation energy, eV per formula unit: 0.2
N(E_F), states/eV per atom: 1.864
Space group: I4/m, No. 87

Record 9
VASP calculation (PBE) on a relaxed structure of Si4HgCl.

Cell lengths 5.3857, 5.3857, 5.3857 Å; angles 60.00, 60.00, 60.00 degrees
Fractional positions:
Si 0.8726 0.3758 0.3758
Si 0.3758 0.3758 0.8726
Si 0.3758 0.8726 0.3758
Si 0.3758 0.3758 0.3758
Hg 0.0000 0.0000 0.0000
Cl 0.7500 0.7500 0.7500

Calculated values
N(E_F), states/eV per atom: 0.549
Space group: F-43m, No. 216
Formation energy without anion corrections, meV per atom: 539

Record 10
VASP calculation (PBE) on a relaxed structure of YTc2Sn2.

Cell lengths 4.7048, 4.7048, 6.0083 Å; angles 66.95, 66.95, 90.00 degrees
Fractional positions:
Y 0.0000 0.0000 0.0000
Sn 0.7500 0.2500 0.5000
Sn 0.2500 0.7500 0.5000
Tc 0.3887 0.3887 0.2226
Tc 0.6113 0.6113 0.7774

Calculated values
Calculated formation energy, eV per formula unit: -0.4
N(E_F), states/eV per atom: 0.987
Space group: I4/mmm, No. 139
Relative energy among the computed polymorphs, kcal/mol of atoms: 0.00

Record 11
VASP calculation (PBE) on a relaxed structure of Al2SbBr8.

Cell lengths 7.6414, 8.1896, 8.1896 Å; angles 75.10, 88.37, 88.37 degrees
Each line ends with the local moment (μB).
Fractional positions:
Al 0.6893 0.7899 0.7899  0.00
Al 0.3107 0.2101 0.2101  0.00
Sb 0.0000 0.0000 0.0000  0.36
Br 0.2048 0.2974 0.9258  0.01
Br 0.7952 0.0742 0.7026  0.01
Br 0.3904 0.7966 0.7966  0.01
Br 0.6096 0.2034 0.2034  0.01
Br 0.2048 0.9258 0.2974  0.01
Br 0.7952 0.7026 0.0742  0.01
Br 0.8199 0.6298 0.6298  0.00
Br 0.1801 0.3702 0.3702  0.00

Calculated values
Space group: C2/m, No. 12
Formation energy without anion corrections, meV per atom: -881

Record 12
VASP calculation (PBE) on a relaxed structure of Tb2RhI.

Cell lengths 4.0844, 4.0844, 8.3068 Å; angles 75.77, 75.77, 60.00 degrees
Fractional positions:
Tb 0.0610 0.0610 0.8170
Tb 0.2735 0.2735 0.1796
Rh 0.6671 0.6671 0.9987
I 0.4984 0.4984 0.5047

Calculated values
N(E_F), states/eV per atom: 0.069
Space group: R3m, No. 160
Relative energy among the computed polymorphs, kcal/mol of atoms: 0.22
Formation energy without anion corrections, meV per atom: -943

> What is the formula in the eleventh record?

Al2SbBr8